Density functional theory data (PBE) for an optimized crystal structure of SrTa2O6.

* E_tot: -9.125 eV/atom
* symmetry: P4/mmm (123)

a = 3.935 Å, b = 3.935 Å, c = 7.969 Å
α = 90.00°, β = 90.00°, γ = 90.00°
Atoms (fractional coordinates):
Sr 0.000 0.000 0.000
Ta 0.500 0.500 0.260
Ta 0.500 0.500 0.740
O 0.000 0.500 0.233
O 0.000 0.500 0.767
O 0.500 0.000 0.233
O 0.500 0.000 0.767
O 0.500 0.500 0.000
O 0.500 0.500 0.500

Density functional theory data (PBE) for an optimized crystal structure of Sr4Ta3O10.

* E_tot: -8.245 eV/atom
* symmetry: I4/mmm (139)

a = 14.609 Å, b = 14.609 Å, c = 14.609 Å
α = 164.14°, β = 164.14°, γ = 22.50°
Atoms (fractional coordinates):
Sr 0.069 0.069 0.000
Sr 0.204 0.204 0.000
Sr 0.796 0.796 0.000
Sr 0.931 0.931 0.000
Ta 0.359 0.359 0.000
Ta 0.500 0.500 0.000
Ta 0.641 0.641 0.000
O 0.000 0.500 0.500
O 0.141 0.641 0.500
O 0.287 0.287 0.000
O 0.359 0.859 0.500
O 0.429 0.429 0.000
O 0.500 0.000 0.500
O 0.571 0.571 0.000
O 0.641 0.141 0.500
O 0.713 0.713 0.000
O 0.859 0.359 0.500

Density functional theory data (PBE) for an optimized crystal structure of SrTa4O11.

* E_tot: -9.426 eV/atom
* symmetry: P6_322 (182)

a = 6.254 Å, b = 6.254 Å, c = 12.364 Å
α = 90.00°, β = 90.00°, γ = 120.00°
Atoms (fractional coordinates):
Sr 0.333 0.667 0.250
Sr 0.667 0.333 0.750
Ta 0.000 0.358 0.500
Ta 0.000 0.642 0.000
Ta 0.333 0.667 0.750
Ta 0.358 0.000 0.500
Ta 0.358 0.358 0.000
Ta 0.642 0.000 0.000
Ta 0.642 0.642 0.500
Ta 0.667 0.333 0.250
O 0.000 0.248 0.000
O 0.000 0.752 0.500
O 0.061 0.429 0.655
O 0.061 0.633 0.845
O 0.248 0.000 0.000
O 0.248 0.248 0.500
O 0.333 0.667 0.036
O 0.333 0.667 0.464
O 0.367 0.429 0.845
O 0.367 0.939 0.655
O 0.429 0.061 0.345
O 0.429 0.367 0.155
O 0.571 0.633 0.655
O 0.571 0.939 0.845
O 0.633 0.061 0.155
O 0.633 0.571 0.345
O 0.667 0.333 0.536
O 0.667 0.333 0.964
O 0.752 0.000 0.500
O 0.752 0.752 0.000
O 0.939 0.367 0.345
O 0.939 0.571 0.155

Density functional theory data (PBE) for an optimized crystal structure of Sr2Ta5O9.

* E_tot: -9.265 eV/atom
* symmetry: P4/mmm (123)

a = 4.152 Å, b = 4.152 Å, c = 12.026 Å
α = 90.00°, β = 90.00°, γ = 90.00°
Atoms (fractional coordinates):
Sr 0.000 0.000 0.169
Sr 0.000 0.000 0.831
Ta 0.000 0.500 0.500
Ta 0.500 0.000 0.500
Ta 0.500 0.500 0.000
Ta 0.500 0.500 0.336
Ta 0.500 0.500 0.664
O 0.000 0.000 0.500
O 0.000 0.500 0.000
O 0.000 0.500 0.321
O 0.000 0.500 0.679
O 0.500 0.000 0.000
O 0.500 0.000 0.321
O 0.500 0.000 0.679
O 0.500 0.500 0.162
O 0.500 0.500 0.838

Density functional theory data (PBE) for an optimized crystal structure of Sr2YTaO6.

* E_tot: -8.313 eV/atom
* symmetry: P2_1/c (14)

a = 5.804 Å, b = 5.882 Å, c = 10.056 Å
α = 90.00°, β = 125.02°, γ = 90.00°
Atoms (fractional coordinates):
Sr 0.241 0.038 0.250
Sr 0.241 0.462 0.750
Sr 0.759 0.538 0.250
Sr 0.759 0.962 0.750
Y 0.500 0.000 0.000
Y 0.500 0.500 0.500
Ta 0.000 0.000 0.500
Ta 0.000 0.500 0.000
O 0.146 0.225 0.953
O 0.146 0.275 0.453
O 0.230 0.697 0.956
O 0.230 0.803 0.456
O 0.321 0.025 0.735
O 0.321 0.475 0.235
O 0.679 0.525 0.765
O 0.679 0.975 0.265
O 0.770 0.197 0.544
O 0.770 0.303 0.044
O 0.854 0.725 0.547
O 0.854 0.775 0.047

Density functional theory data (PBE) for an optimized crystal structure of SrTb2O4.

* energy above the most stable polymorph in this dataset: 2 meV per atom
* E_tot: -7.711 eV/atom
* symmetry: Pnma (62)

a = 10.085 Å, b = 3.431 Å, c = 11.952 Å
α = 90.00°, β = 90.00°, γ = 90.00°
Atoms (fractional coordinates):
Sr 0.247 0.250 0.149
Sr 0.253 0.750 0.649
Sr 0.747 0.250 0.351
Sr 0.753 0.750 0.851
Tb 0.078 0.250 0.388
Tb 0.078 0.250 0.889
Tb 0.422 0.750 0.389
Tb 0.422 0.750 0.888
Tb 0.578 0.250 0.112
Tb 0.578 0.250 0.611
Tb 0.922 0.750 0.111
Tb 0.922 0.750 0.612
O 0.017 0.750 0.783
O 0.075 0.250 0.578
O 0.127 0.750 0.020
O 0.211 0.750 0.322
O 0.289 0.250 0.822
O 0.373 0.250 0.520
O 0.425 0.750 0.078
O 0.483 0.250 0.283
O 0.517 0.750 0.717
O 0.575 0.250 0.922
O 0.627 0.750 0.480
O 0.711 0.750 0.178
O 0.789 0.250 0.678
O 0.873 0.250 0.980
O 0.925 0.750 0.422
O 0.983 0.250 0.217

Density functional theory data (PBE) for an optimized crystal structure of SrTb2O4.

* energy above the most stable polymorph in this dataset: 0 meV per atom
* E_tot: -7.713 eV/atom
* symmetry: Fd-3m (227)

a = 6.938 Å, b = 6.938 Å, c = 6.938 Å
α = 60.00°, β = 60.00°, γ = 60.00°
Atoms (fractional coordinates):
Sr 0.125 0.125 0.125
Sr 0.875 0.875 0.875
Tb 0.000 0.500 0.500
Tb 0.500 0.000 0.500
Tb 0.500 0.500 0.000
Tb 0.500 0.500 0.500
O 0.266 0.266 0.266
O 0.266 0.266 0.701
O 0.266 0.701 0.266
O 0.299 0.734 0.734
O 0.701 0.266 0.266
O 0.734 0.299 0.734
O 0.734 0.734 0.299
O 0.734 0.734 0.734

Density functional theory data (PBE) for an optimized crystal structure of SrTcO4.

* E_tot: -7.346 eV/atom
* symmetry: I4_1/a (88)

a = 7.125 Å, b = 7.125 Å, c = 7.125 Å
α = 135.49°, β = 135.49°, γ = 64.77°
Atoms (fractional coordinates):
Sr 0.375 0.125 0.250
Sr 0.625 0.875 0.750
Tc 0.125 0.375 0.750
Tc 0.875 0.625 0.250
O 0.066 0.205 0.366
O 0.200 0.566 0.361
O 0.295 0.160 0.861
O 0.340 0.700 0.134
O 0.660 0.300 0.866
O 0.705 0.840 0.139
O 0.800 0.434 0.639
O 0.934 0.795 0.634

Density functional theory data (PBE) for an optimized crystal structure of SrTc2O4.

* E_tot: -7.465 eV/atom
* symmetry: Fd-3m (227)

a = 6.480 Å, b = 6.480 Å, c = 6.480 Å
α = 60.00°, β = 60.00°, γ = 60.00°
Atoms (fractional coordinates):
Sr 0.125 0.125 0.125
Sr 0.875 0.875 0.875
Tc 0.000 0.500 0.500
Tc 0.500 0.000 0.500
Tc 0.500 0.500 0.000
Tc 0.500 0.500 0.500
O 0.272 0.272 0.272
O 0.272 0.272 0.683
O 0.272 0.683 0.272
O 0.317 0.728 0.728
O 0.683 0.272 0.272
O 0.728 0.317 0.728
O 0.728 0.728 0.317
O 0.728 0.728 0.728

Density functional theory data (PBE) for an optimized crystal structure of Sr2TcO4.

* E_tot: -7.065 eV/atom
* symmetry: I4/mmm (139)

a = 6.995 Å, b = 6.995 Å, c = 6.995 Å
α = 147.89°, β = 147.89°, γ = 46.05°
Atoms (fractional coordinates):
Sr 0.149 0.149 0.000
Sr 0.851 0.851 0.000
Tc 0.500 0.500 0.000
O 0.000 0.500 0.500
O 0.336 0.336 0.000
O 0.500 0.000 0.500
O 0.664 0.664 0.000

Density functional theory data (PBE) for an optimized crystal structure of Sr2ZnTcO6.

* energy above the most stable polymorph in this dataset: 14 meV per atom
* E_tot: -6.498 eV/atom
* symmetry: Fm-3m (225)

a = 5.603 Å, b = 5.603 Å, c = 5.603 Å
α = 60.00°, β = 60.00°, γ = 60.00°
Atoms (fractional coordinates):
Sr 0.250 0.250 0.250
Sr 0.750 0.750 0.750
Zn 0.000 0.000 0.000
Tc 0.500 0.500 0.500
O 0.258 0.258 0.742
O 0.258 0.742 0.258
O 0.258 0.742 0.742
O 0.742 0.258 0.258
O 0.742 0.258 0.742
O 0.742 0.742 0.258

Density functional theory data (PBE) for an optimized crystal structure of Sr2ZnTcO6.

* energy above the most stable polymorph in this dataset: 14 meV per atom
* E_tot: -6.498 eV/atom
* symmetry: I4/mmm (139)

a = 5.605 Å, b = 5.605 Å, c = 5.605 Å
α = 120.12°, β = 120.12°, γ = 89.79°
Atoms (fractional coordinates):
Sr 0.250 0.750 0.500
Sr 0.750 0.250 0.500
Zn 0.000 0.000 0.000
Tc 0.500 0.500 0.000
O 0.258 0.258 0.000
O 0.258 0.258 0.515
O 0.258 0.742 0.000
O 0.742 0.258 0.000
O 0.742 0.742 0.000
O 0.742 0.742 0.485

Density functional theory data (PBE) for an optimized crystal structure of Sr2ZnTcO6.

* energy above the most stable polymorph in this dataset: 14 meV per atom
* E_tot: -6.498 eV/atom
* symmetry: P-1 (2)

a = 5.598 Å, b = 5.599 Å, c = 5.600 Å
α = 119.95°, β = 90.09°, γ = 119.93°
Atoms (fractional coordinates):
Sr 0.250 0.000 0.250
Sr 0.750 0.000 0.750
Zn 0.000 0.500 0.500
Tc 0.500 0.500 0.000
O 0.253 0.498 0.237
O 0.254 0.016 0.752
O 0.266 0.510 0.758
O 0.734 0.490 0.242
O 0.746 0.984 0.248
O 0.747 0.502 0.763

Density functional theory data (PBE) for an optimized crystal structure of Sr2ZnTcO6.

* energy above the most stable polymorph in this dataset: 0 meV per atom
* E_tot: -6.512 eV/atom
* symmetry: I4/m (87)

a = 5.625 Å, b = 5.625 Å, c = 5.625 Å
α = 120.85°, β = 120.85°, γ = 88.54°
Atoms (fractional coordinates):
Sr 0.250 0.750 0.500
Sr 0.750 0.250 0.500
Zn 0.000 0.000 0.000
Tc 0.500 0.500 0.000
O 0.214 0.695 0.909
O 0.259 0.259 0.000
O 0.305 0.214 0.519
O 0.695 0.786 0.481
O 0.741 0.741 0.000
O 0.786 0.305 0.091

Density functional theory data (PBE) for an optimized crystal structure of Sr2ZnTcO6.

* energy above the most stable polymorph in this dataset: 14 meV per atom
* E_tot: -6.498 eV/atom
* symmetry: P-1 (2)

a = 5.600 Å, b = 5.603 Å, c = 7.929 Å
α = 90.01°, β = 90.00°, γ = 90.03°
Atoms (fractional coordinates):
Sr 0.000 0.000 0.250
Sr 0.000 0.000 0.750
Sr 0.500 0.500 0.250
Sr 0.500 0.500 0.750
Zn 0.000 0.500 0.000
Zn 0.500 0.000 0.500
Tc 0.000 0.500 0.500
Tc 0.500 0.000 0.000
O 0.001 0.500 0.258
O 0.237 0.253 0.500
O 0.248 0.738 0.501
O 0.255 0.761 0.999
O 0.260 0.245 0.000
O 0.499 0.000 0.242
O 0.501 0.000 0.758
O 0.740 0.755 0.000
O 0.745 0.239 0.001
O 0.752 0.262 0.499
O 0.763 0.747 0.500
O 0.999 0.500 0.742

Density functional theory data (PBE) for an optimized crystal structure of SrZnTeO.

* E_tot: -4.008 eV/atom
* symmetry: Cmc2_1 (36)

a = 6.902 Å, b = 6.902 Å, c = 7.414 Å
α = 90.00°, β = 90.00°, γ = 148.68°
Atoms (fractional coordinates):
Sr 0.030 0.970 0.500
Sr 0.970 0.030 0.000
Zn 0.323 0.677 0.661
Zn 0.677 0.323 0.161
Te 0.342 0.658 0.287
Te 0.658 0.342 0.787
O 0.108 0.892 0.212
O 0.892 0.108 0.712

Density functional theory data (PBE) for an optimized crystal structure of SrZnTeO.

* E_tot: -4.022 eV/atom
* symmetry: Pnma (62)

a = 7.497 Å, b = 3.739 Å, c = 13.321 Å
α = 90.00°, β = 90.00°, γ = 90.00°
Atoms (fractional coordinates):
Sr 0.035 0.250 0.223
Sr 0.465 0.750 0.723
Sr 0.535 0.250 0.277
Sr 0.965 0.750 0.777
Zn 0.189 0.750 0.428
Zn 0.311 0.250 0.928
Zn 0.689 0.750 0.072
Zn 0.811 0.250 0.572
Te 0.179 0.250 0.601
Te 0.321 0.750 0.101
Te 0.679 0.250 0.899
Te 0.821 0.750 0.399
O 0.246 0.750 0.863
O 0.254 0.250 0.363
O 0.746 0.750 0.637
O 0.754 0.250 0.137

Density functional theory data (PBE) for an optimized crystal structure of SrZnTeO.

* E_tot: -3.957 eV/atom
* symmetry: P4/nmm (129)

a = 5.185 Å, b = 5.185 Å, c = 7.612 Å
α = 90.00°, β = 90.00°, γ = 90.00°
Atoms (fractional coordinates):
Sr 0.250 0.250 0.177
Sr 0.750 0.750 0.823
Zn 0.250 0.250 0.645
Zn 0.750 0.750 0.355
Te 0.250 0.750 0.500
Te 0.750 0.250 0.500
O 0.250 0.250 0.889
O 0.750 0.750 0.111